Record 1
A plane-wave DFT calculation with PBE-GGA was carried out for a geometry-optimized YPtPb4 structure.

Lattice parameters (Å, degrees): 6.267 6.267 6.267 60.00 60.00 60.00
Atoms (fractional coordinates):
Y  0.000  0.000  0.000
Pt  0.750  0.750  0.750
Pb  0.875  0.375  0.375
Pb  0.375  0.375  0.875
Pb  0.375  0.875  0.375
Pb  0.375  0.375  0.375

Properties
Calculated density   10.61 g/cm³
ΔH_f (0 K)   1.597 eV per formula unit
Size of the total moment   0.00 μB/cell

***

Record 2
A plane-wave DFT calculation with PBE-GGA was carried out for a geometry-optimized BaTc2W structure.

Lattice parameters (Å, degrees): 5.082 5.082 9.233 74.02 74.02 90.00
Atoms (fractional coordinates):
Ba  0.500  0.500  0.000
Ba  0.250  0.750  0.500
W  0.000  0.000  0.000
W  0.750  0.250  0.500
Tc  0.875  0.125  0.250
Tc  0.875  0.625  0.250
Tc  0.375  0.125  0.750
Tc  0.875  0.125  0.750

Properties
Calculated density   7.82 g/cm³
ΔH_f (0 K)   4.791 eV per formula unit
Size of the total moment   0.00 μB/cell

***

Record 3
A plane-wave DFT calculation with PBE-GGA was carried out for a geometry-optimized YAs structure.

Lattice parameters (Å, degrees): 5.766 5.766 7.477 69.26 69.26 39.66
Atoms (fractional coordinates):
Y  0.651  0.651  0.687
Y  0.979  0.979  0.395
Y  0.806  0.806  0.032
As  0.086  0.086  0.995
As  0.259  0.259  0.355
As  0.387  0.387  0.702

Properties
Calculated density   5.55 g/cm³
ΔH_f (0 K)   -2.503 eV per formula unit
Size of the total moment   0.00 μB/cell

***

Record 4
A plane-wave DFT calculation with PBE-GGA was carried out for a geometry-optimized Cd2FeTe structure.

Lattice parameters (Å, degrees): 9.134 9.134 9.134 21.17 21.17 21.17
Atoms (fractional coordinates):
Cd  0.996  0.996  0.996
Cd  0.238  0.238  0.238
Fe  0.497  0.497  0.497
Te  0.769  0.769  0.769

Properties
Calculated density   7.79 g/cm³
Size of the total moment   1.55 μB/cell
Raw formation energy   19.5 kJ/mol of atoms

***

Record 5
A plane-wave DFT calculation with PBE-GGA was carried out for a geometry-optimized PrNdSi2Ni2 structure.

Lattice parameters (Å, degrees): 4.019 4.019 8.533 90.00 90.00 120.00
Atoms (fractional coordinates):
Pr  0.000  0.000  0.000
Nd  0.000  0.000  0.500
Si  0.333  0.667  0.748
Si  0.667  0.333  0.252
Ni  0.333  0.667  0.252
Ni  0.667  0.333  0.748

Properties
Calculated density   6.38 g/cm³
Size of the total moment   0.00 μB/cell
Raw formation energy   -68.5 kJ/mol of atoms

***

Record 6
A plane-wave DFT calculation with PBE-GGA was carried out for a geometry-optimized Tb5PrSm12 structure.

Lattice parameters (Å, degrees): 10.848 10.839 6.252 73.42 90.00 59.97
Atoms (fractional coordinates):
Tb  0.500  0.000  0.500
Tb  0.167  0.665  0.502
Tb  0.833  0.335  0.498
Tb  0.667  0.667  0.999
Tb  0.333  0.333  0.001
Pr  0.000  0.000  0.000
Sm  0.832  0.000  0.500
Sm  0.168  0.000  0.500
Sm  0.665  0.000  0.000
Sm  0.335  0.000  0.000
Sm  0.334  0.665  0.001
Sm  0.001  0.665  0.001
Sm  0.999  0.335  0.999
Sm  0.666  0.335  0.999
Sm  0.499  0.333  0.501
Sm  0.833  0.667  0.499
Sm  0.167  0.333  0.501
Sm  0.501  0.667  0.499

Properties
Calculated density   7.57 g/cm³
ΔH_f (0 K)   0.276 eV per formula unit
Size of the total moment   0.00 μB/cell

***

Record 7
A plane-wave DFT calculation with PBE-GGA was carried out for a geometry-optimized NdAl3ZnPd structure.

Lattice parameters (Å, degrees): 5.875 5.974 7.298 114.16 90.00 90.00
Atoms (fractional coordinates):
Nd  0.750  0.300  0.600
Nd  0.250  0.700  0.400
Al  0.250  0.131  0.262
Al  0.000  0.284  0.000
Al  0.500  0.716  0.000
Al  0.500  0.284  0.000
Al  0.000  0.716  0.000
Al  0.750  0.869  0.738
Zn  0.250  0.348  0.696
Zn  0.750  0.652  0.304
Pd  0.250  0.911  0.821
Pd  0.750  0.089  0.179

Properties
Calculated density   5.64 g/cm³
ΔH_f (0 K)   -2.296 eV per formula unit
Size of the total moment   0.00 μB/cell

***

Record 8
A plane-wave DFT calculation with PBE-GGA was carried out for a geometry-optimized La5Os structure.

Lattice parameters (Å, degrees): 6.300 6.300 6.300 60.00 60.00 60.00
Atoms (fractional coordinates):
La  0.627  0.627  0.118
La  0.250  0.250  0.250
La  0.627  0.627  0.627
La  0.118  0.627  0.627
La  0.627  0.118  0.627
Os  0.000  0.000  0.000

Properties
Calculated density   8.31 g/cm³
ΔH_f (0 K)   4.380 eV per formula unit
Size of the total moment   0.00 μB/cell